VASP calculation (PBE) on an optimized crystal structure of ZnHgSeO.

Cell and atoms, written as CIF:
```
data_ZnHgSeO
_chemical_formula_sum 'Zn2 Hg2 Se2 O2'
_cell_length_a 6.6769
_cell_length_b 6.6769
_cell_length_c 5.9151
_cell_angle_alpha 90.00
_cell_angle_beta 90.00
_cell_angle_gamma 147.29
_space_group_name_H-M_alt 'P 1'
_space_group_IT_number 1
loop_
_space_group_symop_operation_xyz
'x,y,z'
loop_
_atom_site_label
_atom_site_type_symbol
_atom_site_fract_x
_atom_site_fract_y
_atom_site_fract_z
Zn1 Zn 0.1008 0.8992 0.7500
Zn2 Zn 0.8992 0.1008 0.2500
Hg1 Hg 0.4012 0.5988 0.7500
Hg2 Hg 0.5988 0.4012 0.2500
Se1 Se 0.2787 0.7213 0.2500
Se2 Se 0.7213 0.2787 0.7500
O1 O 0.0000 0.0000 0.0000
O2 O 0.0000 0.0000 0.5000
```

Results
ρ (Mg/m³): 8.41
Energy relative to the lowest polymorph listed for this composition (meV per atom): 333
Final energy (eV/cell): -22.55